1.
# SrMgCl2 (GGA-PBE, relaxed)
data_SrMgCl2
_space_group_name_H-M_alt 'P 1'
_space_group_IT_number 1
_space_group_name_Hall 'P 1'
_cell_length_a 6.683
_cell_length_b 6.683
_cell_length_c 6.683
_cell_angle_alpha 142.20
_cell_angle_beta 142.20
_cell_angle_gamma 54.53
loop_
_atom_site_label
_atom_site_type_symbol
_atom_site_fract_x
_atom_site_fract_y
_atom_site_fract_z
Sr1 Sr 0.000 0.000 0.000
Mg1 Mg 0.750 0.250 0.500
Cl1 Cl 0.250 0.750 0.500
Cl2 Cl 0.500 0.500 0.000
# relative energy among the computed polymorphs	284	meV per atom
# energy relative to the elements, uncorrected	-1.23	eV/atom

---

2.
# K2CoMo (GGA-PBE, relaxed)
data_K2CoMo
_space_group_name_H-M_alt 'P 1'
_space_group_IT_number 1
_space_group_name_Hall 'P 1'
_cell_length_a 2.732
_cell_length_b 5.909
_cell_length_c 5.298
_cell_angle_alpha 90.00
_cell_angle_beta 98.75
_cell_angle_gamma 90.00
loop_
_atom_site_label
_atom_site_type_symbol
_atom_site_fract_x
_atom_site_fract_y
_atom_site_fract_z
K1 K 0.197 0.000 0.258
K2 K 0.803 0.000 0.742
Co1 Co 0.000 0.500 0.500
Mo1 Mo 0.500 0.500 0.000
# relative energy among the computed polymorphs	671	meV per atom

---

3.
TaNb3Os3: relaxed, GGA-PBE.

Structure (CIF):
```
data_TaNb3Os3
_space_group_name_H-M_alt 'P 1'
_space_group_IT_number 1
_space_group_name_Hall 'P 1'
_cell_length_a 6.292
_cell_length_b 6.292
_cell_length_c 6.186
_cell_angle_alpha 90.00
_cell_angle_beta 90.00
_cell_angle_gamma 92.42
loop_
_atom_site_label
_atom_site_type_symbol
_atom_site_fract_x
_atom_site_fract_y
_atom_site_fract_z
Ta1 Ta 0.242 0.758 0.000
Ta2 Ta 0.758 0.242 0.000
Nb1 Nb 0.257 0.743 0.500
Nb2 Nb 0.270 0.270 0.500
Nb3 Nb 0.295 0.295 0.000
Nb4 Nb 0.705 0.705 0.000
Nb5 Nb 0.730 0.730 0.500
Nb6 Nb 0.743 0.257 0.500
Os1 Os 0.000 0.000 0.252
Os2 Os 0.000 0.000 0.748
Os3 Os 0.000 0.500 0.249
Os4 Os 0.000 0.500 0.751
Os5 Os 0.500 0.000 0.249
Os6 Os 0.500 0.000 0.751
```

---

4.
LiCeHg2: relaxed, GGA-PBE.

Structure (CIF):
```
data_LiCeHg2
_space_group_name_H-M_alt 'P 1'
_space_group_IT_number 1
_space_group_name_Hall 'P 1'
_cell_length_a 9.707
_cell_length_b 9.707
_cell_length_c 9.707
_cell_angle_alpha 20.23
_cell_angle_beta 20.23
_cell_angle_gamma 20.23
loop_
_atom_site_label
_atom_site_type_symbol
_atom_site_fract_x
_atom_site_fract_y
_atom_site_fract_z
Li1 Li 0.000 0.000 0.000
Ce1 Ce 0.833 0.833 0.833
Hg1 Hg 0.406 0.406 0.406
Hg2 Hg 0.593 0.593 0.593
```

---

5.
# AgTeN2O (GGA-PBE, relaxed)
data_AgTeN2O
_space_group_name_H-M_alt 'P 1'
_space_group_IT_number 1
_space_group_name_Hall 'P 1'
_cell_length_a 4.071
_cell_length_b 4.071
_cell_length_c 4.242
_cell_angle_alpha 90.00
_cell_angle_beta 90.00
_cell_angle_gamma 90.00
loop_
_atom_site_label
_atom_site_type_symbol
_atom_site_fract_x
_atom_site_fract_y
_atom_site_fract_z
Ag1 Ag 0.000 0.000 0.000
Te1 Te 0.500 0.500 0.000
N1 N 0.000 0.500 0.500
N2 N 0.500 0.000 0.500
O1 O 0.500 0.500 0.500
# energy relative to the elements, uncorrected	1.94	eV/atom

---

6.
KRb2BaAu: relaxed, GGA-PBE.

Structure (CIF):
```
data_KRb2BaAu
_space_group_name_H-M_alt 'P 1'
_space_group_IT_number 1
_space_group_name_Hall 'P 1'
_cell_length_a 6.970
_cell_length_b 6.970
_cell_length_c 6.494
_cell_angle_alpha 90.00
_cell_angle_beta 90.00
_cell_angle_gamma 90.00
loop_
_atom_site_label
_atom_site_type_symbol
_atom_site_fract_x
_atom_site_fract_y
_atom_site_fract_z
K1 K 0.000 0.000 0.000
Rb1 Rb 0.000 0.500 0.500
Rb2 Rb 0.500 0.000 0.500
Ba1 Ba 0.500 0.500 0.000
Au1 Au 0.500 0.500 0.500
```

---

7.
# SiNiHN (GGA-PBE, relaxed)
data_SiNiHN
_space_group_name_H-M_alt 'P 1'
_space_group_IT_number 1
_space_group_name_Hall 'P 1'
_cell_length_a 5.238
_cell_length_b 5.238
_cell_length_c 5.238
_cell_angle_alpha 31.75
_cell_angle_beta 31.75
_cell_angle_gamma 31.75
loop_
_atom_site_label
_atom_site_type_symbol
_atom_site_fract_x
_atom_site_fract_y
_atom_site_fract_z
Si1 Si 0.000 0.000 0.000
Ni1 Ni 0.148 0.148 0.148
H1 H 0.472 0.472 0.472
N1 N 0.286 0.286 0.286
# relative energy among the computed polymorphs	0	meV per atom

---

8.
PrTlZn: relaxed, GGA-PBE.

Structure (CIF):
```
data_PrTlZn
_space_group_name_H-M_alt 'P 1'
_space_group_IT_number 1
_space_group_name_Hall 'P 1'
_cell_length_a 4.817
_cell_length_b 4.817
_cell_length_c 3.821
_cell_angle_alpha 90.00
_cell_angle_beta 90.00
_cell_angle_gamma 120.00
loop_
_atom_site_label
_atom_site_type_symbol
_atom_site_fract_x
_atom_site_fract_y
_atom_site_fract_z
Pr1 Pr 0.000 0.000 0.000
Tl1 Tl 0.667 0.333 0.499
Zn1 Zn 0.333 0.667 0.502
```

---

9.
ZrSc2Ta: relaxed, GGA-PBE.

Structure (CIF):
```
data_ZrSc2Ta
_space_group_name_H-M_alt 'P 1'
_space_group_IT_number 1
_space_group_name_Hall 'P 1'
_cell_length_a 10.633
_cell_length_b 10.633
_cell_length_c 10.633
_cell_angle_alpha 16.78
_cell_angle_beta 16.78
_cell_angle_gamma 16.78
loop_
_atom_site_label
_atom_site_type_symbol
_atom_site_fract_x
_atom_site_fract_y
_atom_site_fract_z
Zr1 Zr 0.000 0.000 0.000
Sc1 Sc 0.246 0.246 0.246
Sc2 Sc 0.754 0.754 0.754
Ta1 Ta 0.500 0.500 0.500
```

---

10.
TbScGaSn: relaxed, GGA-PBE.

Structure (CIF):
```
data_TbScGaSn
_space_group_name_H-M_alt 'P 1'
_space_group_IT_number 1
_space_group_name_Hall 'P 1'
_cell_length_a 5.093
_cell_length_b 5.093
_cell_length_c 5.093
_cell_angle_alpha 60.00
_cell_angle_beta 60.00
_cell_angle_gamma 60.00
loop_
_atom_site_label
_atom_site_type_symbol
_atom_site_fract_x
_atom_site_fract_y
_atom_site_fract_z
Tb1 Tb 0.000 0.000 0.000
Sc1 Sc 0.500 0.500 0.500
Ga1 Ga 0.250 0.250 0.250
Sn1 Sn 0.750 0.750 0.750
```

---

11.
# P3C (GGA-PBE, relaxed)
data_P3C
_space_group_name_H-M_alt 'P 1'
_space_group_IT_number 1
_space_group_name_Hall 'P 1'
_cell_length_a 4.636
_cell_length_b 4.636
_cell_length_c 4.430
_cell_angle_alpha 99.14
_cell_angle_beta 99.14
_cell_angle_gamma 39.04
loop_
_atom_site_label
_atom_site_type_symbol
_atom_site_fract_x
_atom_site_fract_y
_atom_site_fract_z
P1 P 0.000 0.000 0.000
P2 P 0.327 0.327 0.015
P3 P 0.650 0.650 0.458
C1 C 0.142 0.142 0.714
# relative energy among the computed polymorphs	222	meV per atom

---

12.
Mn2AsRh: relaxed, GGA-PBE.

Structure (CIF):
```
data_Mn2AsRh
_space_group_name_H-M_alt 'P 1'
_space_group_IT_number 1
_space_group_name_Hall 'P 1'
_cell_length_a 4.425
_cell_length_b 4.425
_cell_length_c 3.024
_cell_angle_alpha 90.00
_cell_angle_beta 90.00
_cell_angle_gamma 108.88
loop_
_atom_site_label
_atom_site_type_symbol
_atom_site_fract_x
_atom_site_fract_y
_atom_site_fract_z
Mn1 Mn 0.000 0.500 0.000
Mn2 Mn 0.500 0.000 0.000
As1 As 0.000 0.000 0.500
Rh1 Rh 0.500 0.500 0.500
```

---

Computed uncorrected energy (eV per atom) in order:
-2.9769; -3.5591; -10.8227; -2.3072; -3.5813; -1.7865; -6.0713; -3.1319; -8.1276; -5.0061; -5.7330; -7.6682